# V5PdPt4

V5PdPt4 after structural relaxation (PBE, Alexandria via LeMat-Bulk).

Lattice parameters (Å, degrees): 2.704 2.704 19.556 90.00 90.00 90.00
Space group P4/mmm (No. 123)
One atom of each set of equivalent atoms:
V 0.000 0.000 0.000 (multiplicity 1)
V 0.000 0.000 0.200 (multiplicity 2)
V 0.000 0.000 0.400 (multiplicity 2)
Pd 0.500 0.500 0.500 (multiplicity 1)
Pt 0.500 0.500 0.100 (multiplicity 2)
Pt 0.500 0.500 0.300 (multiplicity 2)

Computed properties:
Its calculated formation energy is -0.4892 eV/atom. The crystal system is tetragonal.

# Mg14NiW

Mg14NiW after structural relaxation (PBE, Alexandria via LeMat-Bulk).

Lattice parameters (Å, degrees): 9.877 6.184 10.733 90.00 90.00 90.00
Space group Amm2 (No. 38)
One atom of each set of equivalent atoms:
Mg 0.000 0.000 0.000 (multiplicity 2)
Mg 0.000 0.000 0.499 (multiplicity 2)
Mg 0.000 0.249 0.252 (multiplicity 4)
Mg 0.256 0.000 0.662 (multiplicity 4)
Mg 0.265 0.000 0.161 (multiplicity 4)
Mg 0.273 0.250 0.423 (multiplicity 8)
Mg 0.500 0.246 0.751 (multiplicity 4)
Ni 0.500 0.000 0.004 (multiplicity 2)
W 0.500 0.000 0.509 (multiplicity 2)

Computed properties:
Its calculated formation energy is 0.1504 eV/atom. The crystal system is orthorhombic. The energy above the most stable polymorph in this dataset comes out at 0.15 eV/f.u.

# Cs2As2PdPt

Cs2As2PdPt after structural relaxation (PBE, Alexandria via LeMat-Bulk).

Lattice parameters (Å, degrees): 6.190 22.721 6.417 90.00 90.00 90.00
Space group Ibam (No. 72)
One atom of each set of equivalent atoms:
Cs 0.247 0.139 0.000 (multiplicity 8)
As 0.244 0.448 0.000 (multiplicity 8)
Pd 0.000 0.000 0.250 (multiplicity 4)
Pt 0.000 0.500 0.250 (multiplicity 4)

Computed properties:
Its calculated formation energy is -0.4229 eV/atom. The crystal system is orthorhombic.

# CrMoAs2

CrMoAs2 after structural relaxation (PBE, Alexandria via LeMat-Bulk).

Lattice parameters (Å, degrees): 3.0173 3.0173 22.8090 90.00 90.00 120.00
Space group R-3m (No. 166, hexagonal axes)
One atom of each set of equivalent atoms:
Cr 0.0000 0.0000 0.0000 (multiplicity 3)
Mo 0.0000 0.0000 0.5000 (multiplicity 3)
As 0.0000 0.0000 0.2549 (multiplicity 6)

Computed properties:
Its calculated formation energy is 0.1767 eV/atom. The crystal system is trigonal. The energy above the most stable polymorph in this dataset comes out at 1.49 eV/f.u.

# BaAc7

BaAc7 after structural relaxation (PBE, Alexandria via LeMat-Bulk).

Lattice parameters (Å, degrees): 11.415 11.415 11.415 90.00 90.00 90.00
Space group Fm-3m (No. 225)
One atom of each set of equivalent atoms:
Ba 0.000 0.000 0.000 (multiplicity 4)
Ac 0.000 0.000 0.500 (multiplicity 4)
Ac 0.000 0.250 0.250 (multiplicity 24)

Computed properties:
Its calculated formation energy is 0.0537 eV/atom. The crystal system is cubic.

# TlNiIr4

TlNiIr4 after structural relaxation (PBE, Alexandria via LeMat-Bulk).

Lattice parameters (Å, degrees): 7.390 7.390 7.390 90.00 90.00 90.00
Space group F-43m (No. 216)
One atom of each set of equivalent atoms:
Tl 0.000 0.000 0.000 (multiplicity 4)
Ni 0.250 0.250 0.250 (multiplicity 4)
Ir 0.125 0.125 0.625 (multiplicity 16)

Computed properties:
Its calculated formation energy is 0.6631 eV/atom. The crystal system is cubic.

# Ce6DyO12

Ce6DyO12 after structural relaxation (PBE, Alexandria via LeMat-Bulk).

Lattice parameters (Å, degrees): 10.3004 10.3004 9.5607 90.00 90.00 120.00
Space group R-3 (No. 148, hexagonal axes)
One atom of each set of equivalent atoms:
Ce 0.0482 0.2566 0.1556 (multiplicity 18)
Dy 0.0000 0.0000 0.5000 (multiplicity 3)
O 0.0349 0.2202 0.8975 (multiplicity 18)
O 0.0364 0.2130 0.3925 (multiplicity 18)

Computed properties:
The uncorrected formation energy comes out at -3490 meV/atom. The crystal system is trigonal.

# LiPaTl

LiPaTl after structural relaxation (PBE, Alexandria via LeMat-Bulk).

Lattice parameters (Å, degrees): 3.202 3.202 25.843 90.00 90.00 90.00
Space group I4/mmm (No. 139)
One atom of each set of equivalent atoms:
Li 0.000 0.000 0.217 (multiplicity 4)
Pa 0.000 0.000 0.051 (multiplicity 4)
Tl 0.000 0.000 0.350 (multiplicity 4)

Computed properties:
Its calculated formation energy is 0.1214 eV/atom. The crystal system is tetragonal.

# Hg2TePb

Hg2TePb after structural relaxation (PBE, Alexandria via LeMat-Bulk).

Lattice parameters (Å, degrees): 3.327 5.249 6.764 90.00 102.70 90.00
Space group P2/m (No. 10)
One atom of each set of equivalent atoms:
Hg 0.247 0.000 0.255 (multiplicity 2)
Te 0.500 0.500 0.000 (multiplicity 1)
Pb 0.000 0.500 0.500 (multiplicity 1)

Computed properties:
The uncorrected formation energy comes out at 16 meV/atom. The crystal system is monoclinic. The energy above the most stable polymorph in this dataset comes out at 0.72 eV/f.u.

# YTcAu2

YTcAu2 after structural relaxation (PBE, Alexandria via LeMat-Bulk).

Lattice parameters (Å, degrees): 3.566 3.566 6.145 90.00 90.00 90.00
Space group P4mm (No. 99)
One atom of each set of equivalent atoms:
Y 0.000 0.000 0.000 (multiplicity 1)
Tc 0.500 0.500 0.715 (multiplicity 1)
Au 0.000 0.000 0.522 (multiplicity 1)
Au 0.500 0.500 0.260 (multiplicity 1)

Computed properties:
Its calculated formation energy is -0.0918 eV/atom. The crystal system is tetragonal. The energy above the most stable polymorph in this dataset comes out at 0.36 eV/f.u.

# AcCe3Rh8

AcCe3Rh8 after structural relaxation (PBE, Alexandria via LeMat-Bulk).

Lattice parameters (Å, degrees): 5.4011 5.4011 8.8988 90.00 90.00 120.00
Space group P3m1 (No. 156)
One atom of each set of equivalent atoms:
Ac 0.0000 0.0000 0.0000 (multiplicity 1)
Ce 0.0000 0.0000 0.3682 (multiplicity 1)
Ce 0.6667 0.3333 0.4957 (multiplicity 1)
Ce 0.6667 0.3333 0.8472 (multiplicity 1)
Rh 0.1662 0.3325 0.6753 (multiplicity 3)
Rh 0.3333 0.6667 0.4315 (multiplicity 1)
Rh 0.3333 0.6667 0.9311 (multiplicity 1)
Rh 0.5015 0.0029 0.1897 (multiplicity 3)

Computed properties:
Its calculated formation energy is -0.6221 eV/atom. The crystal system is trigonal.

# Hf4ReSb

Hf4ReSb after structural relaxation (PBE, Alexandria via LeMat-Bulk).

Lattice parameters (Å, degrees): 8.189 12.347 5.542 90.00 110.95 90.00
Space group C2/c (No. 15)
One atom of each set of equivalent atoms:
Hf 0.114 0.180 0.069 (multiplicity 8)
Hf 0.213 0.416 0.349 (multiplicity 8)
Re 0.000 0.001 0.250 (multiplicity 4)
Sb 0.000 0.380 0.750 (multiplicity 4)

Computed properties:
The uncorrected formation energy comes out at -249 meV/atom. The crystal system is monoclinic.

Copy entry 10 word for word.
# YTcAu2

YTcAu2 after structural relaxation (PBE, Alexandria via LeMat-Bulk).

Lattice parameters (Å, degrees): 3.566 3.566 6.145 90.00 90.00 90.00
Space group P4mm (No. 99)
One atom of each set of equivalent atoms:
Y 0.000 0.000 0.000 (multiplicity 1)
Tc 0.500 0.500 0.715 (multiplicity 1)
Au 0.000 0.000 0.522 (multiplicity 1)
Au 0.500 0.500 0.260 (multiplicity 1)

Computed properties:
Its calculated formation energy is -0.0918 eV/atom. The crystal system is tetragonal. The energy above the most stable polymorph in this dataset comes out at 0.36 eV/f.u.